(1)
## BeSiPO2 (PBE)

Data for an optimized crystal structure of BeSiPO2.

Properties
raw total energy	-5.723	eV per atom
energy above the most stable polymorph in this dataset	0.0	meV/atom
space-group type	No. 123

Unit cell a=3.341 b=3.341 c=5.342 alpha=90.00 beta=90.00 gamma=90.00
Atoms (fractional coordinates):
Be 0.000 0.000 0.000
Si 0.500 0.500 0.500
P 0.500 0.500 0.000
O 0.000 0.500 0.500
O 0.500 0.000 0.500

---

(2)
## K6CdHg3 (PBE)

Data for an optimized crystal structure of K6CdHg3.

Properties
raw total energy	-0.962	eV per atom
space-group type	No. 14

Unit cell a=10.405 b=7.247 c=15.321 alpha=90.00 beta=131.81 gamma=90.00
Atoms (fractional coordinates):
K 0.078 0.227 0.249
K 0.078 0.273 0.749
K 0.243 0.065 0.580
K 0.243 0.435 0.080
K 0.406 0.562 0.575
K 0.406 0.938 0.075
K 0.594 0.062 0.925
K 0.594 0.438 0.425
K 0.757 0.565 0.920
K 0.757 0.935 0.420
K 0.922 0.727 0.251
K 0.922 0.773 0.751
Cd 0.500 0.000 0.500
Cd 0.500 0.500 0.000
Hg 0.000 0.000 0.000
Hg 0.000 0.500 0.500
Hg 0.286 0.679 0.756
Hg 0.286 0.821 0.256
Hg 0.714 0.179 0.744
Hg 0.714 0.321 0.244

---

(3)
## CuAgCl2 (PBE)

Data for an optimized crystal structure of CuAgCl2.

Properties
raw total energy	-2.916	eV per atom
space-group type	No. 44

Unit cell a=3.480 b=3.587 c=14.101 alpha=90.00 beta=90.00 gamma=90.00
Atoms (fractional coordinates):
Cu 0.000 0.000 0.000
Cu 0.500 0.500 0.500
Ag 0.000 0.500 0.656
Ag 0.500 0.000 0.156
Cl 0.000 0.000 0.477
Cl 0.000 0.500 0.224
Cl 0.500 0.000 0.724
Cl 0.500 0.500 0.977

---

(4)
## NbFeBr3 (PBE)

Data for an optimized crystal structure of NbFeBr3.

Properties
raw total energy	-4.289	eV per atom
energy above the most stable polymorph in this dataset	0.0	meV/atom
space-group type	No. 221

Unit cell a=5.346 b=5.346 c=5.346 alpha=90.00 beta=90.00 gamma=90.00
Atoms (fractional coordinates):
Nb 0.000 0.000 0.000
Fe 0.500 0.500 0.500
Br 0.000 0.000 0.500
Br 0.000 0.500 0.000
Br 0.500 0.000 0.000

---

(5)
## NaInSn (PBE)

Data for an optimized crystal structure of NaInSn.

Properties
raw total energy	-2.846	eV per atom
space-group type	No. 62

Unit cell a=8.013 b=4.974 c=8.667 alpha=90.00 beta=90.00 gamma=90.00
Atoms (fractional coordinates):
Na 0.004 0.250 0.185
Na 0.496 0.750 0.685
Na 0.504 0.250 0.315
Na 0.996 0.750 0.815
In 0.169 0.250 0.588
In 0.331 0.750 0.088
In 0.669 0.250 0.912
In 0.831 0.750 0.412
Sn 0.207 0.750 0.407
Sn 0.293 0.250 0.907
Sn 0.707 0.750 0.093
Sn 0.793 0.250 0.593

---

(6)
## Tb2Ho8Tm (PBE)

Data for an optimized crystal structure of Tb2Ho8Tm.

Properties
raw total energy	-4.387	eV per atom
energy above the most stable polymorph in this dataset	20.6	meV/atom
space-group type	No. 12

Unit cell a=9.163 b=9.163 c=6.421 alpha=108.26 beta=108.26 gamma=42.62
Atoms (fractional coordinates):
Tb 0.218 0.218 0.108
Tb 0.782 0.782 0.892
Ho 0.060 0.060 0.247
Ho 0.160 0.637 0.309
Ho 0.291 0.291 0.674
Ho 0.363 0.840 0.691
Ho 0.637 0.160 0.309
Ho 0.709 0.709 0.326
Ho 0.840 0.363 0.691
Ho 0.940 0.940 0.753
Tm 0.500 0.500 0.000

---

(7)
## SrLi2In4Ga (PBE)

Data for an optimized crystal structure of SrLi2In4Ga.

Properties
raw total energy	-2.674	eV per atom
space-group type	No. 166

Unit cell a=10.093 b=10.093 c=10.093 alpha=28.15 beta=28.15 gamma=28.15
Atoms (fractional coordinates):
Sr 0.000 0.000 0.000
Li 0.230 0.230 0.230
Li 0.770 0.770 0.770
In 0.124 0.124 0.124
In 0.402 0.402 0.402
In 0.598 0.598 0.598
In 0.876 0.876 0.876
Ga 0.500 0.500 0.500

---

(8)
## Nb3Pd (PBE)

Data for an optimized crystal structure of Nb3Pd.

Properties
raw total energy	-8.876	eV per atom
space-group type	No. 221

Unit cell a=4.126 b=4.126 c=4.126 alpha=90.00 beta=90.00 gamma=90.00
Atoms (fractional coordinates):
Nb 0.000 0.000 0.500
Nb 0.000 0.500 0.000
Nb 0.500 0.000 0.000
Pd 0.500 0.500 0.500

---

(9)
## ZrAl2Tc2 (PBE)

Data for an optimized crystal structure of ZrAl2Tc2.

Properties
raw total energy	-7.452	eV per atom
energy above the most stable polymorph in this dataset	256.2	meV/atom
space-group type	No. 139

Unit cell a=3.825 b=3.825 c=11.662 alpha=90.00 beta=90.00 gamma=90.00
Atoms (fractional coordinates):
Zr 0.000 0.000 0.000
Zr 0.500 0.500 0.500
Al 0.000 0.000 0.396
Al 0.000 0.000 0.604
Al 0.500 0.500 0.104
Al 0.500 0.500 0.896
Tc 0.000 0.500 0.250
Tc 0.000 0.500 0.750
Tc 0.500 0.000 0.250
Tc 0.500 0.000 0.750

---

(10)
## Dy2ErCdO (PBE)

Data for an optimized crystal structure of Dy2ErCdO.

Properties
raw total energy	-5.250	eV per atom
space-group type	No. 123

Unit cell a=4.787 b=4.787 c=4.738 alpha=90.00 beta=90.00 gamma=90.00
Atoms (fractional coordinates):
Dy 0.000 0.500 0.000
Dy 0.500 0.000 0.000
Er 0.000 0.000 0.500
Cd 0.500 0.500 0.500
O 0.000 0.000 0.000

---

(11)
## InNi3Au (PBE)

Data for an optimized crystal structure of InNi3Au.

Properties
raw total energy	-3.673	eV per atom
energy above the most stable polymorph in this dataset	0.0	meV/atom
space-group type	No. 221

Unit cell a=4.686 b=4.686 c=4.686 alpha=90.00 beta=90.00 gamma=90.00
Atoms (fractional coordinates):
In 0.000 0.000 0.000
Ni 0.000 0.500 0.500
Ni 0.500 0.000 0.500
Ni 0.500 0.500 0.000
Au 0.500 0.500 0.500

---

(12)
## Ba2SrGaRh (PBE)

Data for an optimized crystal structure of Ba2SrGaRh.

Properties
raw total energy	-3.331	eV per atom
space-group type	No. 123

Unit cell a=6.152 b=6.152 c=5.024 alpha=90.00 beta=90.00 gamma=90.00
Atoms (fractional coordinates):
Ba 0.000 0.500 0.000
Ba 0.500 0.000 0.000
Sr 0.000 0.000 0.500
Ga 0.500 0.500 0.500
Rh 0.500 0.500 0.000